{"formula": "Pr2Al4GaPt3", "functional": "PBE", "state": "relaxed", "lattice_angstrom": [[4.3242, 0.0000, 0.0000], [0.0000, 4.3242, 0.0000], [0.0000, 0.0000, 10.4994]], "species": ["Pr", "Pr", "Al", "Al", "Al", "Al", "Ga", "Pt", "Pt", "Pt"], "frac_coords": [[0.0000, 0.5000, 0.2503], [0.5000, 0.0000, 0.7497], [0.0000, 0.0000, 0.0000], [0.0000, 0.5000, 0.6361], [0.5000, 0.0000, 0.3639], [0.5000, 0.5000, 0.0000], [0.0000, 0.0000, 0.5000], [0.0000, 0.5000, 0.8722], [0.5000, 0.0000, 0.1278], [0.5000, 0.5000, 0.5000]], "final_energy_ev_per_atom": -5.5568, "sg": "No. 115", "total_magnetization_mub_per_fu": 0.00, "e_form_mev_per_atom": -989.0}